First-principles (PBE) data for an optimized crystal structure of Ba8Ga2Ir, as listed in the Alexandria database.

abc: 5.8164 7.8524 10.9298
angles: 104.89 105.43 90.00
Positions (direct):
Ba1 0.0351 0.8118 0.0702
Ba2 0.9649 0.1882 0.9298
Ba3 0.2135 0.3098 0.4270
Ba4 0.5894 0.4004 0.1788
Ba5 0.6558 0.9495 0.3117
Ba6 0.4106 0.5996 0.8212
Ba7 0.7865 0.6902 0.5730
Ba8 0.3442 0.0505 0.6883
Ir1 0.5000 0.0000 0.0000
Ga1 0.1877 0.7204 0.3755
Ga2 0.8123 0.2796 0.6245

Properties
- total magnetic moment (μB per cell) = 0.0
- energy relative to the elements (eV/atom) = -0.125
- Fermi-level density of states (states/eV/cell) = 12.18
- symmetry = No. 12
- energy (eV per atom) = -2.879